No. 1
The following is a DFT calculation (PBE) of a geometry-optimized YMnSi2 structure.

Properties
Crystal system: tetragonal
E_form (uncorrected): -0.321 eV/atom
Space-group type: P4/mmm, No. 123
Magnetization: 0.00 μB/f.u.
E: -27.76 eV per cell

a b c (Å): 3.011 3.011 6.799
angles (deg): 90.00 90.00 90.00
Fractional positions:
Y 0.000 0.000 0.000
Mn 0.000 0.000 0.500
Si 0.500 0.500 0.316
Si 0.500 0.500 0.684

No. 2
The following is a DFT calculation (PBE) of a geometry-optimized Al2AgMo structure.

Properties
Crystal system: orthorhombic
Formation enthalpy at 0 K: -0.1052 eV per atom
Space-group type: Cmmm, No. 65
Offset from the most stable computed form: 1.6 meV/atom
Magnetization: 0.00 μB/f.u.
E: -21.59 eV per cell

a b c (Å): 4.747 4.747 2.868
angles (deg): 90.00 90.00 102.06
Fractional positions:
Al 0.000 0.500 0.000
Al 0.500 0.000 0.000
Ag 0.000 0.000 0.500
Mo 0.500 0.500 0.500

No. 3
The following is a DFT calculation (PBE) of a geometry-optimized Zr2CuMo structure.

Properties
Crystal system: orthorhombic
Formation enthalpy at 0 K: 0.0779 eV per atom
Space-group type: Imm2, No. 44
Offset from the most stable computed form: 190.8 meV/atom
Magnetization: 0.00 μB/f.u.
E: -31.71 eV per cell

a b c (Å): 5.433 5.433 5.433
angles (deg): 142.18 130.99 63.52
Fractional positions:
Zr 0.000 0.000 0.000
Zr 0.729 0.229 0.500
Cu 0.255 0.755 0.500
Mo 0.481 0.481 0.000

No. 4
The following is a DFT calculation (PBE) of a geometry-optimized DyYCoAu structure.

Properties
Crystal system: cubic
Formation enthalpy at 0 K: -0.4384 eV per atom
Space-group type: F-43m, No. 216
Magnetization: 0.52 μB/f.u.
E: -23.20 eV per cell

a b c (Å): 4.939 4.939 4.939
angles (deg): 60.00 60.00 60.00
Fractional positions:
Dy 0.000 0.000 0.000
Y 0.500 0.500 0.500
Co 0.250 0.250 0.250
Au 0.750 0.750 0.750